A geometry-optimized NaMg2Pb7 structure. Source: the Alexandria database, functional PBE.

```
NaMg2Pb7
1.0
-0.352 -3.471 -0.224
4.365 0.153 -9.230
6.107 -1.142 8.103
Pb Na Mg
7 1 2
Cartesian
2.411 -2.090 1.311
2.073 -1.838 -2.056
5.060 -2.231 -0.675
5.782 -0.901 4.873
4.690 -0.089 -6.000
8.047 -2.623 0.705
7.709 -2.371 -2.662
0.000 0.000 0.000
4.761 -2.009 -3.645
5.358 -2.452 2.294
```

Properties
Calculated total energy (Ry per atom): -0.2187
ΔH_f (0 K) (eV per formula unit): 0.71
Mass density (g/cm³): 7.824

=====

A geometry-optimized Mn2TlIr structure. Source: the Alexandria database, functional PBE.

```
Mn2TlIr
1.0
-1.174 2.312 1.720
-3.358 -2.775 1.438
1.668 -2.123 3.993
Mn Ir Tl
2 1 1
Cartesian
0.000 0.000 0.000
0.247 0.095 2.856
-0.845 -2.449 2.715
-2.266 -0.232 1.579
```

Properties
Calculated total energy (Ry per atom): -0.5128
ΔH_f (0 K) (eV per formula unit): 1.66
Mass density (g/cm³): 12.708